Density functional theory data (PBE) for a geometry-optimized CaCr3Bi structure.

The structure in CIF format:
```
data_CaCr3Bi
_space_group_name_H-M_alt 'P m -3 m'
_space_group_IT_number 221
_space_group_name_Hall '-P 4 2 3'
_cell_length_a 5.3406
_cell_length_b 5.3406
_cell_length_c 5.3406
_cell_angle_alpha 90.00
_cell_angle_beta 90.00
_cell_angle_gamma 90.00
loop_
_atom_site_label
_atom_site_type_symbol
_atom_site_fract_x
_atom_site_fract_y
_atom_site_fract_z
Ca1 Ca 0.0000 0.0000 0.0000
Cr1 Cr 0.0000 0.5000 0.5000
Bi1 Bi 0.5000 0.5000 0.5000
```

Output
- Volume: 152 Å³/cell
- N(E_F): 4.64 states/eV per cell
- Size of the total moment: 13.24 μB per formula unit
- Energy: -29.2 eV/cell
- Energy above the most stable polymorph in this dataset: 0.000 eV/atom
- Energy of formation from the pure elements: 1106 meV/atom